1.
! GGA-PBEsol FeSeCl7, relaxed; values from VASP
&SYSTEM
  ibrav = 0, nat = 18, ntyp = 3
/
ATOMIC_SPECIES
Fe 55.84 Fe.upf
Se 78.96 Se.upf
Cl 35.45 Cl.upf
ATOMIC_POSITIONS crystal
Fe 0.4990 0.1258 0.1310
Fe 0.7456 0.5683 0.5444
Se 0.9683 0.5025 0.0870
Se 0.1779 0.9466 0.5404
Cl 0.9263 0.0473 0.4372
Cl 0.9676 0.9325 0.7478
Cl 0.3130 0.1726 0.5634
Cl 0.6907 0.3643 0.6874
Cl 0.8414 0.1878 0.0818
Cl 0.2748 0.3352 0.2178
Cl 0.4773 0.9209 0.2847
Cl 0.4321 0.0412 0.9522
Cl 0.0851 0.7307 0.1248
Cl 0.2037 0.4586 0.8911
Cl 0.6918 0.6106 0.0077
Cl 0.0873 0.6273 0.5046
Cl 0.5237 0.7753 0.6384
Cl 0.6780 0.5023 0.3535
CELL_PARAMETERS angstrom
6.3213 0.0082 0.0564
0.8826 8.2038 -0.0365
2.4833 0.4699 9.7799
! Uncorrected formation energy = -496.2 meV per atom
! Total moment = 0.5556 μB/atom
! Symmetry = P1

---

2.
! GGA-PBEsol FeSiCl2, relaxed; values from VASP
&SYSTEM
  ibrav = 0, nat = 4, ntyp = 3
/
ATOMIC_SPECIES
Cl 35.45 Cl.upf
Fe 55.84 Fe.upf
Si 28.09 Si.upf
ATOMIC_POSITIONS crystal
Cl 0.0000 0.0000 0.7094
Cl 0.0000 0.0000 0.2906
Fe 0.5000 0.0000 0.5000
Si 0.5000 0.0000 0.0000
CELL_PARAMETERS angstrom
-1.1767 2.2393 -1.6864
-1.0675 -2.9515 -0.4339
-5.9498 1.2898 5.8640
! Uncorrected formation energy = 159.3 meV per atom
! Total moment = 0.8190 μB/atom
! DOS at the Fermi energy = 3.137 states/eV/f.u.
! Symmetry = Cmmm

---

3.
! GGA-PBEsol FeSiCl2, relaxed; values from VASP
&SYSTEM
  ibrav = 0, nat = 4, ntyp = 3
/
ATOMIC_SPECIES
Cl 35.45 Cl.upf
Fe 55.84 Fe.upf
Si 28.09 Si.upf
ATOMIC_POSITIONS crystal
Cl 0.0000 0.0000 0.0000
Cl 0.7500 0.2500 0.5000
Fe 0.5000 0.5000 0.0000
Si 0.2500 0.7500 0.5000
CELL_PARAMETERS angstrom
3.5723 0.0000 0.0000
0.0000 3.5723 0.0000
-1.7861 -1.7861 5.6381
! Uncorrected formation energy = 495.0 meV per atom
! Total moment = 0.6946 μB/atom
! DOS at the Fermi energy = 5.897 states/eV/f.u.
! Symmetry = I-4m2

---

4.
! GGA-PBEsol FeSiCl2, relaxed; values from VASP
&SYSTEM
  ibrav = 0, nat = 4, ntyp = 3
/
ATOMIC_SPECIES
Cl 35.45 Cl.upf
Fe 55.84 Fe.upf
Si 28.09 Si.upf
ATOMIC_POSITIONS crystal
Cl 0.0436 0.0436 0.0871
Cl 0.8304 0.3304 0.6608
Fe 0.4779 0.4779 0.9558
Si 0.1482 0.6482 0.2963
CELL_PARAMETERS angstrom
-0.0695 1.7164 2.5126
1.6352 -3.4451 2.3986
4.5725 2.6568 -3.5320
! Uncorrected formation energy = 50.1 meV per atom
! Total moment = 0.7500 μB/atom
! DOS at the Fermi energy = 3.188 states/eV/f.u.
! Symmetry = Imm2

---

5.
! GGA-PBEsol FeSiCl2, relaxed; values from VASP
&SYSTEM
  ibrav = 0, nat = 4, ntyp = 3
/
ATOMIC_SPECIES
Cl 35.45 Cl.upf
Fe 55.84 Fe.upf
Si 28.09 Si.upf
ATOMIC_POSITIONS crystal
Cl 0.0000 0.0000 0.9330
Cl 0.5000 0.5000 0.3393
Fe 0.0000 0.0000 0.5186
Si 0.5000 0.5000 0.7091
CELL_PARAMETERS angstrom
2.9770 0.0000 0.0000
0.0000 2.9770 0.0000
0.0000 0.0000 7.6465
! Uncorrected formation energy = -28.6 meV per atom
! Total moment = 0.6753 μB/atom
! DOS at the Fermi energy = 3.350 states/eV/f.u.
! Symmetry = P4mm

---

6.
! GGA-PBEsol FeSiCl2, relaxed; values from VASP
&SYSTEM
  ibrav = 0, nat = 4, ntyp = 3
/
ATOMIC_SPECIES
Si 28.09 Si.upf
Fe 55.84 Fe.upf
Cl 35.45 Cl.upf
ATOMIC_POSITIONS crystal
Si 0.5000 0.5000 0.5000
Fe 0.0000 0.0000 0.0000
Cl 0.9178 0.9178 0.2467
Cl 0.0822 0.0822 0.7533
CELL_PARAMETERS angstrom
3.0843 0.0000 0.0000
1.5422 2.6711 0.0000
1.5422 0.8904 8.6584
! Uncorrected formation energy = 217.2 meV per atom
! Total moment = 0.7790 μB/atom
! DOS at the Fermi energy = 3.332 states/eV/f.u.
! Symmetry = R-3m

---

7.
! GGA-PBEsol FeSi4Cl, relaxed; values from VASP
&SYSTEM
  ibrav = 0, nat = 6, ntyp = 3
/
ATOMIC_SPECIES
Cl 35.45 Cl.upf
Fe 55.84 Fe.upf
Si 28.09 Si.upf
ATOMIC_POSITIONS crystal
Cl 0.7500 0.7500 0.7500
Fe 0.0000 0.0000 0.0000
Si 0.3763 0.3763 0.3763
Si 0.3763 0.3763 0.8711
Si 0.8711 0.3763 0.3763
Si 0.3763 0.8711 0.3763
CELL_PARAMETERS angstrom
5.0591 0.0000 0.0000
2.5296 4.3813 0.0000
2.5296 1.4604 4.1307
! Uncorrected formation energy = 545.7 meV per atom
! Total moment = 0.5326 μB/atom
! DOS at the Fermi energy = 3.897 states/eV/f.u.
! Symmetry = F-43m

---

8.
! GGA-PBEsol FeSiTe2Cl, relaxed; values from VASP
&SYSTEM
  ibrav = 0, nat = 5, ntyp = 4
/
ATOMIC_SPECIES
Si 28.09 Si.upf
Te 127.60 Te.upf
Fe 55.84 Fe.upf
Cl 35.45 Cl.upf
ATOMIC_POSITIONS crystal
Si 0.0000 0.0000 0.0000
Te 0.0000 0.0000 0.5000
Te 0.0000 0.5000 0.0000
Fe 0.5000 0.0000 0.0000
Cl 0.5000 0.5000 0.5000
CELL_PARAMETERS angstrom
4.5146 0.0000 0.0000
0.0000 5.2029 0.0000
0.0000 0.0000 5.2029
! Uncorrected formation energy = 641.5 meV per atom
! Total moment = 0.6368 μB/atom
! DOS at the Fermi energy = 5.216 states/eV/f.u.
! Symmetry = P4/mmm

---

9.
! GGA-PBEsol SrFe2Cl, relaxed; values from VASP
&SYSTEM
  ibrav = 0, nat = 4, ntyp = 3
/
ATOMIC_SPECIES
Sr 87.62 Sr.upf
Fe 55.84 Fe.upf
Cl 35.45 Cl.upf
ATOMIC_POSITIONS crystal
Sr 0.5089 0.4911 0.4911
Fe 0.0054 0.9946 0.9946
Fe 0.6707 0.8293 0.8293
Cl 0.3150 0.1850 0.1850
CELL_PARAMETERS angstrom
-2.0153 -1.3224 -2.3579
-4.1411 -2.2069 2.3662
-4.4179 2.8371 -0.2261
! Uncorrected formation energy = 262.5 meV per atom
! Total moment = 0.7439 μB/atom
! DOS at the Fermi energy = 2.967 states/eV/f.u.
! Symmetry = Imm2

---

10.
! GGA-PBEsol Sr4FeCl, relaxed; values from VASP
&SYSTEM
  ibrav = 0, nat = 6, ntyp = 3
/
ATOMIC_SPECIES
Cl 35.45 Cl.upf
Fe 55.84 Fe.upf
Sr 87.62 Sr.upf
ATOMIC_POSITIONS crystal
Cl 0.7500 0.7500 0.7500
Fe 0.0000 0.0000 0.0000
Sr 0.3742 0.3742 0.3742
Sr 0.3742 0.3742 0.8773
Sr 0.8773 0.3742 0.3742
Sr 0.3742 0.8773 0.3742
CELL_PARAMETERS angstrom
-3.4364 -5.5548 2.8657
3.6808 -5.6194 2.3981
0.4492 -1.2413 7.0096
! Uncorrected formation energy = 702.9 meV per atom
! Total moment = 0.2441 μB/atom
! DOS at the Fermi energy = 12.991 states/eV/f.u.
! Symmetry = F-43m

---

11.
! GGA-PBEsol Sr2FeCl, relaxed; values from VASP
&SYSTEM
  ibrav = 0, nat = 4, ntyp = 3
/
ATOMIC_SPECIES
Sr 87.62 Sr.upf
Fe 55.84 Fe.upf
Cl 35.45 Cl.upf
ATOMIC_POSITIONS crystal
Sr 0.0000 0.0000 0.5000
Sr 0.0000 0.5000 0.0000
Fe 0.5000 0.0000 0.0000
Cl 0.5000 0.5000 0.5000
CELL_PARAMETERS angstrom
-0.3725 3.3842 0.4618
-4.7268 -0.1458 -2.7441
-2.6833 -0.9329 4.6715
! Uncorrected formation energy = -250.7 meV per atom
! Total moment = 0.4634 μB/atom
! DOS at the Fermi energy = 5.451 states/eV/f.u.
! Symmetry = P4/mmm

---

12.
! GGA-PBEsol SrFeCl2, relaxed; values from VASP
&SYSTEM
  ibrav = 0, nat = 4, ntyp = 3
/
ATOMIC_SPECIES
Sr 87.62 Sr.upf
Fe 55.84 Fe.upf
Cl 35.45 Cl.upf
ATOMIC_POSITIONS crystal
Sr 0.0000 0.5000 0.5000
Fe 0.5000 0.0000 0.0000
Cl 0.2501 0.7499 0.7499
Cl 0.7499 0.2501 0.2501
CELL_PARAMETERS angstrom
4.9374 0.0000 0.0000
2.4687 4.2722 -0.0109
2.4687 1.4331 4.0247
! Uncorrected formation energy = -676.0 meV per atom
! Total moment = 0.9801 μB/atom
! DOS at the Fermi energy = 1.540 states/eV/f.u.
! Symmetry = Fm-3m